Entry 1:
Computed, not measured: crystalline KGaPbCl6 at its relaxed geometry at the PBE level of DFT.

Unit cell a=7.0484 b=7.0482 c=6.6622 alpha=90.00 beta=90.00 gamma=60.00
Element x y z (fractional)
Cl (0.6068, 0.0532, 0.2874)
Cl (0.3400, 0.6068, 0.2874)
Cl (0.6068, 0.3400, 0.7126)
Cl (0.3399, 0.0532, 0.7126)
Cl (0.0531, 0.6069, 0.7126)
Cl (0.0532, 0.3400, 0.2874)
Ga (0.3333, 0.3333, 0.5000)
K (0.0000, 0.0000, 0.0000)
Pb (0.6666, 0.6667, 0.5000)

## Properties
- space group = P312, No. 149
- electronic total energy (eV for the cell shown) = -30.57
- ΔE_f (raw) (eV/atom) = -1.2949
- V (Å³ per atom) = 31.85
- D(E_F) (states/eV/cell) = 0.00

Entry 2:
Computed, not measured: crystalline Li5B8C8 at its relaxed geometry at the PBE level of DFT.

Unit cell a=2.7236 b=2.7236 c=28.0701 alpha=90.00 beta=90.00 gamma=120.00
Element x y z (fractional)
Li (0.0000, 0.0000, 0.1128)
Li (0.0000, 0.0000, 0.3872)
Li (0.0000, 0.0000, 0.7500)
Li (0.0000, 0.0000, 0.8777)
Li (0.0000, 0.0000, 0.6223)
B (0.3333, 0.6667, 0.9415)
B (0.6667, 0.3333, 0.5585)
B (0.3333, 0.6667, 0.1758)
B (0.6667, 0.3333, 0.8133)
B (0.3333, 0.6667, 0.4514)
B (0.6667, 0.3333, 0.3242)
B (0.3333, 0.6667, 0.6867)
B (0.6667, 0.3333, 0.0486)
C (0.6667, 0.3333, 0.6870)
C (0.6667, 0.3333, 0.4493)
C (0.6667, 0.3333, 0.1737)
C (0.3333, 0.6667, 0.3263)
C (0.3333, 0.6667, 0.0507)
C (0.6667, 0.3333, 0.9391)
C (0.3333, 0.6667, 0.5609)
C (0.3333, 0.6667, 0.8130)

## Properties
- space group = P-3m1, No. 164
- electronic total energy (eV for the cell shown) = -138.92
- energy of formation from the pure elements (eV per atom) = -0.102
- V (Å³ per atom) = 8.59
- D(E_F) (states/eV/cell) = 4.70

Entry 3:
Computed, not measured: crystalline CaCd9Pt2 at its relaxed geometry at the PBE level of DFT.

Unit cell a=7.6199 b=9.1497 c=9.1497 alpha=80.01 beta=65.39 gamma=65.39
Element x y z (fractional)
Cd (0.3153, 0.6789, 0.0798)
Cd (0.1451, 0.4202, 0.1789)
Cd (0.7500, 0.5000, 0.5000)
Cd (0.0058, 0.6789, 0.9202)
Cd (0.4347, 0.4202, 0.8211)
Cd (0.0058, 0.9202, 0.6789)
Cd (0.0740, 0.3211, 0.9202)
Cd (0.0740, 0.9202, 0.3211)
Cd (0.7442, 0.8211, 0.5798)
Cd (0.4347, 0.8211, 0.4202)
Cd (0.6760, 0.5798, 0.1789)
Cd (0.3153, 0.0798, 0.6789)
Cd (0.6760, 0.1789, 0.5798)
Cd (0.7442, 0.5798, 0.8211)
Cd (0.6049, 0.0798, 0.3211)
Cd (0.1451, 0.1789, 0.4202)
Cd (0.0000, 0.0000, 0.0000)
Cd (0.6049, 0.3211, 0.0798)
Ca (0.2500, 0.5000, 0.5000)
Ca (0.5000, 0.0000, 0.0000)
Pt (0.8750, 0.2500, 0.2500)
Pt (0.8750, 0.7500, 0.2500)
Pt (0.3750, 0.7500, 0.7500)
Pt (0.8750, 0.2500, 0.7500)

## Properties
- space group = I4_1/amd, No. 141
- electronic total energy (eV for the cell shown) = -50.35
- energy of formation from the pure elements (eV per atom) = -0.238
- V (Å³ per atom) = 21.97
- D(E_F) (states/eV/cell) = 11.68

Question: Look up the V of the third one.
Answer: 21.97 Å³ per atom